NaSb2P | GGA-PBE | optimized geometry

Output
Raw formation energy in eV/atom: 0.06
Symmetry: I-42d (122)
Uncorrected energy in eV/cell: -29.5
M_tot in μB per formula unit: 0.00

CIF file:
```
data_NaSb2P
_chemical_formula_sum 'Na2 Sb4 P2'
_cell_length_a 7.368
_cell_length_b 7.368
_cell_length_c 6.963
_cell_angle_alpha 58.05
_cell_angle_beta 58.05
_cell_angle_gamma 90.00
_space_group_name_H-M_alt 'P 1'
_space_group_IT_number 1
_space_group_name_Hall 'P 1'
loop_
_atom_site_label
_atom_site_type_symbol
_atom_site_fract_x
_atom_site_fract_y
_atom_site_fract_z
Sb1 Sb 0.693 0.125 0.250
Sb2 Sb 0.057 0.625 0.250
Sb3 Sb 0.375 0.307 0.750
Sb4 Sb 0.875 0.943 0.750
Na1 Na 0.500 0.500 0.000
Na2 Na 0.250 0.750 0.500
P1 P 0.000 0.000 0.000
P2 P 0.750 0.250 0.500
```

---

NaSb3P | GGA-PBE | optimized geometry

Output
Raw formation energy in eV/atom: 0.33
Symmetry: Pm-3m (221)
Uncorrected energy in eV/cell: -17.4
M_tot in μB per formula unit: 0.00
Polymorph energy (0 for the lowest one) in meV/atom: 0.0

CIF file:
```
data_NaSb3P
_chemical_formula_sum 'Na1 Sb3 P1'
_cell_length_a 5.325
_cell_length_b 5.325
_cell_length_c 5.325
_cell_angle_alpha 90.00
_cell_angle_beta 90.00
_cell_angle_gamma 90.00
_space_group_name_H-M_alt 'P 1'
_space_group_IT_number 1
_space_group_name_Hall 'P 1'
loop_
_atom_site_label
_atom_site_type_symbol
_atom_site_fract_x
_atom_site_fract_y
_atom_site_fract_z
Sb1 Sb 0.000 0.500 0.000
Sb2 Sb 0.000 0.000 0.500
Sb3 Sb 0.500 0.000 0.000
Na1 Na 0.500 0.500 0.500
P1 P 0.000 0.000 0.000
```

---

Na3SbP | GGA-PBE | optimized geometry

Output
Raw formation energy in eV/atom: 0.11
Symmetry: Pm-3m (221)
Uncorrected energy in eV/cell: -12.9
M_tot in μB per formula unit: 2.75
Polymorph energy (0 for the lowest one) in meV/atom: 0.0

CIF file:
```
data_Na3SbP
_chemical_formula_sum 'Na3 Sb1 P1'
_cell_length_a 5.417
_cell_length_b 5.417
_cell_length_c 5.417
_cell_angle_alpha 90.00
_cell_angle_beta 90.00
_cell_angle_gamma 90.00
_space_group_name_H-M_alt 'P 1'
_space_group_IT_number 1
_space_group_name_Hall 'P 1'
loop_
_atom_site_label
_atom_site_type_symbol
_atom_site_fract_x
_atom_site_fract_y
_atom_site_fract_z
Sb1 Sb 0.500 0.500 0.500
Na1 Na 0.000 0.500 0.000
Na2 Na 0.000 0.000 0.500
Na3 Na 0.500 0.000 0.000
P1 P 0.000 0.000 0.000
```